VASP calculation (PBE) on crystalline BiPAuS at its relaxed geometry.

Cell: 4.020 4.644 5.870 Å, 93.68 101.67 94.90°
Element x y z (fractional)
Bi 0.000 0.000 0.000
P 0.430 0.598 0.941
Au 0.092 0.042 0.506
S 0.262 0.558 0.569

Computed properties:
total magnetization = 0.00 μB/f.u.
V = 107 Å³/cell
calculated total energy = -4.05 eV/atom
ρ = 7.31 g cm⁻³
space-group type = P1, No. 1
N(E_F) = 0.45 states/eV/atom


VASP calculation (PBE) on crystalline ScCoSnIr at its relaxed geometry.

Cell: 6.372 6.372 6.372 Å, 90.00 90.00 90.00°
Element x y z (fractional)
Sc 0.000 0.000 0.000
Sc 0.000 0.500 0.500
Sc 0.500 0.000 0.500
Sc 0.500 0.500 0.000
Co 0.250 0.250 0.750
Co 0.250 0.750 0.250
Co 0.750 0.250 0.250
Co 0.750 0.750 0.750
Sn 0.000 0.000 0.500
Sn 0.000 0.500 0.000
Sn 0.500 0.000 0.000
Sn 0.500 0.500 0.500
Ir 0.250 0.250 0.250
Ir 0.250 0.750 0.750
Ir 0.750 0.250 0.750
Ir 0.750 0.750 0.250

Computed properties:
ΔE_f = -0.545 eV/atom
total magnetization = 1.04 μB/f.u.
V = 259 Å³/cell
ρ = 10.65 g cm⁻³
space-group type = F-43m, No. 216
N(E_F) = 0.20 states/eV/atom


VASP calculation (PBE) on crystalline KPtI6 at its relaxed geometry.

Cell: 9.275 10.148 7.392 Å, 90.00 105.88 90.00°
Element x y z (fractional)
K 0.000 0.000 0.000
K 0.500 0.500 0.000
Pt 0.000 0.500 0.500
Pt 0.500 0.000 0.500
I 0.163 0.500 0.251
I 0.178 0.312 0.718
I 0.178 0.688 0.718
I 0.322 0.188 0.282
I 0.322 0.812 0.282
I 0.337 0.000 0.749
I 0.663 0.000 0.251
I 0.678 0.188 0.718
I 0.678 0.812 0.718
I 0.822 0.312 0.282
I 0.822 0.688 0.282
I 0.837 0.500 0.749

Computed properties:
total magnetization = 0.00 μB/f.u.
V = 669 Å³/cell
calculated total energy = -2.42 eV/atom
ρ = 4.94 g cm⁻³
space-group type = C2/m, No. 12
N(E_F) = 0.63 states/eV/atom


VASP calculation (PBE) on crystalline CoSn4Sb2 at its relaxed geometry.

Cell: 4.830 4.830 16.232 Å, 90.00 90.00 90.00°
Element x y z (fractional)
Co 0.000 0.000 0.000
Co 0.500 0.500 0.500
Sn 0.000 0.000 0.160
Sn 0.000 0.000 0.840
Sn 0.000 0.500 0.000
Sn 0.000 0.500 0.500
Sn 0.500 0.000 0.000
Sn 0.500 0.000 0.500
Sn 0.500 0.500 0.340
Sn 0.500 0.500 0.660
Sb 0.000 0.000 0.343
Sb 0.000 0.000 0.657
Sb 0.500 0.500 0.157
Sb 0.500 0.500 0.843

Computed properties:
total magnetization = 0.00 μB/f.u.
V = 379 Å³/cell
calculated total energy = -4.36 eV/atom
ρ = 6.82 g cm⁻³
space-group type = I4/mmm, No. 139
N(E_F) = 0.46 states/eV/atom


Which value of ρ does entry 3 give? 4.94 g cm⁻³


What did the third record say?
VASP calculation (PBE) on crystalline KPtI6 at its relaxed geometry.

Cell: 9.275 10.148 7.392 Å, 90.00 105.88 90.00°
Element x y z (fractional)
K 0.000 0.000 0.000
K 0.500 0.500 0.000
Pt 0.000 0.500 0.500
Pt 0.500 0.000 0.500
I 0.163 0.500 0.251
I 0.178 0.312 0.718
I 0.178 0.688 0.718
I 0.322 0.188 0.282
I 0.322 0.812 0.282
I 0.337 0.000 0.749
I 0.663 0.000 0.251
I 0.678 0.188 0.718
I 0.678 0.812 0.718
I 0.822 0.312 0.282
I 0.822 0.688 0.282
I 0.837 0.500 0.749

Computed properties:
total magnetization = 0.00 μB/f.u.
V = 669 Å³/cell
calculated total energy = -2.42 eV/atom
ρ = 4.94 g cm⁻³
space-group type = C2/m, No. 12
N(E_F) = 0.63 states/eV/atom